Here is a relaxed Ho4PuSb5 crystal from Alexandria via LeMat-Bulk. Energies are from PBE.

- formation energy from raw total energies (eV/atom) = -1.00
- space-group type = Immm, No. 71

a b c (Å): 4.382 6.191 11.590
angles (deg): 105.49 100.90 90.00
Fractional coordinates of all 10 atoms:
1 Ho 0.399 0.399 0.799
2 Ho 0.799 0.799 0.597
3 Ho 0.201 0.201 0.403
4 Ho 0.601 0.601 0.201
5 Pu 0.000 0.000 0.000
6 Sb 0.601 0.101 0.202
7 Sb 0.800 0.300 0.600
8 Sb 0.200 0.700 0.400
9 Sb 0.000 0.500 0.000
10 Sb 0.399 0.899 0.798

---

Here is a relaxed Ho5PuSb6 crystal from Alexandria via LeMat-Bulk. Energies are from PBE.

- formation energy from raw total energies (eV/atom) = -1.02
- space-group type = C2/m, No. 12

a b c (Å): 7.586 7.588 7.585
angles (deg): 59.99 80.40 70.52
Fractional coordinates of all 12 atoms:
1 Ho 0.500 0.166 0.668
2 Ho 0.000 0.333 0.334
3 Ho 0.500 0.500 0.000
4 Ho 0.000 0.667 0.666
5 Ho 0.500 0.834 0.332
6 Pu 0.000 0.000 0.000
7 Sb 0.748 0.084 0.335
8 Sb 0.252 0.581 0.335
9 Sb 0.250 0.252 0.000
10 Sb 0.750 0.748 0.000
11 Sb 0.748 0.419 0.665
12 Sb 0.252 0.916 0.665

---

Here is a relaxed Ho5PuSb4 crystal from Alexandria via LeMat-Bulk. Energies are from PBE.

- formation energy from raw total energies (eV/atom) = -0.61
- space-group type = C2/m, No. 12

a b c (Å): 4.310 8.377 9.556
angles (deg): 105.25 103.03 90.00
Fractional coordinates of all 10 atoms:
1 Ho 0.822 0.647 0.644
2 Ho 0.838 0.177 0.676
3 Ho 0.162 0.823 0.324
4 Ho 0.500 0.500 0.000
5 Ho 0.178 0.353 0.356
6 Pu 0.500 0.000 0.000
7 Sb 0.329 0.910 0.658
8 Sb 0.991 0.740 0.983
9 Sb 0.671 0.090 0.342
10 Sb 0.009 0.260 0.017

---

Here is a relaxed Ho3PuSb4 crystal from Alexandria via LeMat-Bulk. Energies are from PBE.

- formation energy from raw total energies (eV/atom) = -0.97
- ΔE to the lowest computed polymorph (meV/atom) = 3
- space-group type = Pm-3m, No. 221

a b c (Å): 6.197 6.197 6.197
angles (deg): 90.00 90.00 90.00
Fractional coordinates of all 8 atoms:
1 Sb 0.500 0.000 0.000
2 Sb 0.000 0.500 0.000
3 Sb 0.000 0.000 0.500
4 Sb 0.500 0.500 0.500
5 Ho 0.000 0.500 0.500
6 Ho 0.500 0.000 0.500
7 Ho 0.500 0.500 0.000
8 Pu 0.000 0.000 0.000

---

Here is a relaxed Ho4PuSb5 crystal from Alexandria via LeMat-Bulk. Energies are from PBE.

- formation energy from raw total energies (eV/atom) = -1.00
- space-group type = I4/mmm, No. 139

a b c (Å): 4.383 4.383 15.773
angles (deg): 97.99 97.99 90.00
Fractional coordinates of all 10 atoms:
1 Ho 0.399 0.399 0.799
2 Ho 0.800 0.800 0.599
3 Ho 0.200 0.200 0.401
4 Ho 0.601 0.601 0.201
5 Pu 0.000 0.000 0.000
6 Sb 0.101 0.101 0.201
7 Sb 0.500 0.500 0.000
8 Sb 0.899 0.899 0.799
9 Sb 0.300 0.300 0.600
10 Sb 0.700 0.700 0.400

---

Here is a relaxed Ho2PuSb3 crystal from Alexandria via LeMat-Bulk. Energies are from PBE.

- formation energy from raw total energies (eV/atom) = -0.93
- ΔE to the lowest computed polymorph (meV/atom) = 2
- space-group type = Cmmm, No. 65

a b c (Å): 6.198 6.207 9.809
angles (deg): 108.44 90.00 90.00
Fractional coordinates of all 12 atoms:
1 Ho 0.500 0.834 0.669
2 Ho 0.500 0.166 0.331
3 Ho 0.000 0.000 0.000
4 Ho 0.500 0.500 0.000
5 Pu 0.000 0.333 0.666
6 Pu 0.000 0.667 0.334
7 Sb 0.500 0.334 0.667
8 Sb 0.000 0.834 0.668
9 Sb 0.500 0.666 0.333
10 Sb 0.000 0.166 0.332
11 Sb 0.000 0.500 0.000
12 Sb 0.500 0.000 0.000

---

Here is a relaxed Ho2PuSb3 crystal from Alexandria via LeMat-Bulk. Energies are from PBE.

- formation energy from raw total energies (eV/atom) = -0.93
- ΔE to the lowest computed polymorph (meV/atom) = 0
- space-group type = Immm, No. 71

a b c (Å): 4.398 6.201 7.588
angles (deg): 114.12 106.84 90.00
Fractional coordinates of all 6 atoms:
1 Ho 0.834 0.834 0.167
2 Ho 0.166 0.166 0.833
3 Pu 0.500 0.500 0.500
4 Sb 0.832 0.332 0.165
5 Sb 0.168 0.668 0.835
6 Sb 0.500 0.000 0.500

---

Here is a relaxed Ho2PuSb crystal from Alexandria via LeMat-Bulk. Energies are from PBE.

- formation energy from raw total energies (eV/atom) = -0.18
- ΔE to the lowest computed polymorph (meV/atom) = 223
- space-group type = R-3m, No. 166

a b c (Å): 3.533 3.533 10.777
angles (deg): 80.56 80.56 60.00
Fractional coordinates of all 4 atoms:
1 Sb 0.000 0.000 0.000
2 Ho 0.255 0.255 0.236
3 Ho 0.745 0.745 0.764
4 Pu 0.500 0.500 0.500

---

Here is a relaxed HoPu3Sb4 crystal from Alexandria via LeMat-Bulk. Energies are from PBE.

- formation energy from raw total energies (eV/atom) = -0.71
- space-group type = P2/c, No. 13

a b c (Å): 7.644 7.638 8.825
angles (deg): 90.00 90.00 109.50
Fractional coordinates of all 16 atoms:
1 Sb 0.999 0.248 0.625
2 Sb 0.500 0.249 0.877
3 Sb 0.499 0.248 0.375
4 Sb 0.000 0.249 0.123
5 Sb 0.000 0.751 0.877
6 Sb 0.501 0.752 0.625
7 Sb 0.500 0.751 0.123
8 Sb 0.001 0.752 0.375
9 Ho 0.750 0.000 0.876
10 Ho 0.250 0.000 0.124
11 Pu 0.750 0.000 0.374
12 Pu 0.250 0.000 0.626
13 Pu 0.750 0.500 0.626
14 Pu 0.750 0.500 0.125
15 Pu 0.250 0.500 0.374
16 Pu 0.250 0.500 0.875

---

Here is a relaxed Ho2PuSb crystal from Alexandria via LeMat-Bulk. Energies are from PBE.

- formation energy from raw total energies (eV/atom) = -0.41
- ΔE to the lowest computed polymorph (meV/atom) = 0
- space-group type = P4/mmm, No. 123

a b c (Å): 4.565 4.834 4.834
angles (deg): 90.00 90.00 90.00
Fractional coordinates of all 4 atoms:
1 Sb 0.500 0.000 0.000
2 Ho 0.000 0.000 0.500
3 Ho 0.000 0.500 0.000
4 Pu 0.500 0.500 0.500

---

Here is a relaxed Ho3PuSb4 crystal from Alexandria via LeMat-Bulk. Energies are from PBE.

- formation energy from raw total energies (eV/atom) = -0.98
- ΔE to the lowest computed polymorph (meV/atom) = 0
- space-group type = Cmmm, No. 65

a b c (Å): 4.390 7.586 7.586
angles (deg): 109.46 90.00 90.00
Fractional coordinates of all 8 atoms:
1 Ho 0.000 0.000 0.500
2 Ho 0.500 0.500 0.500
3 Ho 0.000 0.500 0.000
4 Pu 0.500 0.000 0.000
5 Sb 0.000 0.252 0.252
6 Sb 0.500 0.749 0.251
7 Sb 0.000 0.748 0.748
8 Sb 0.500 0.251 0.749

---

Here is a relaxed HoPu5Sb6 crystal from Alexandria via LeMat-Bulk. Energies are from PBE.

- formation energy from raw total energies (eV/atom) = -0.67
- space-group type = C2/m, No. 12

a b c (Å): 7.639 7.653 7.648
angles (deg): 59.98 80.42 70.58
Fractional coordinates of all 12 atoms:
1 Sb 0.751 0.082 0.333
2 Sb 0.249 0.585 0.333
3 Sb 0.250 0.249 0.000
4 Sb 0.750 0.751 0.000
5 Sb 0.751 0.415 0.667
6 Sb 0.249 0.918 0.667
7 Ho 0.000 0.000 0.000
8 Pu 0.500 0.167 0.665
9 Pu 0.000 0.334 0.333
10 Pu 0.500 0.500 0.000
11 Pu 0.000 0.666 0.667
12 Pu 0.500 0.833 0.335

---

Here is a relaxed HoPuSbSe crystal from Alexandria via LeMat-Bulk. Energies are from PBE.

- formation energy from raw total energies (eV/atom) = -1.27
- space-group type = R3m, No. 160

a b c (Å): 4.269 4.269 7.346
angles (deg): 73.11 73.11 60.00
Fractional coordinates of all 4 atoms:
1 Ho 0.190 0.190 0.431
2 Pu 0.699 0.699 0.903
3 Sb 0.942 0.942 0.173
4 Se 0.445 0.445 0.664

---

Here is a relaxed SmHoPu2Sb4 crystal from Alexandria via LeMat-Bulk. Energies are from PBE.

- formation energy from raw total energies (eV/atom) = -0.87
- space-group type = P2/m, No. 10

a b c (Å): 4.428 7.668 7.644
angles (deg): 109.54 90.00 90.00
Fractional coordinates of all 8 atoms:
1 Sm 0.500 0.500 0.000
2 Ho 0.000 0.000 0.000
3 Pu 0.500 0.000 0.500
4 Pu 0.000 0.500 0.500
5 Sb 0.500 0.247 0.251
6 Sb 0.500 0.753 0.749
7 Sb 0.000 0.246 0.747
8 Sb 0.000 0.754 0.253

---

Here is a relaxed Sm2HoPuSb4 crystal from Alexandria via LeMat-Bulk. Energies are from PBE.

- formation energy from raw total energies (eV/atom) = -1.01
- space-group type = P2/m, No. 10

a b c (Å): 4.441 7.678 7.684
angles (deg): 109.42 90.00 90.00
Fractional coordinates of all 8 atoms:
1 Sm 0.500 0.000 0.500
2 Sm 0.000 0.500 0.500
3 Ho 0.000 0.000 0.000
4 Pu 0.500 0.500 0.000
5 Sb 0.500 0.247 0.244
6 Sb 0.500 0.753 0.756
7 Sb 0.000 0.251 0.755
8 Sb 0.000 0.749 0.245

---

Here is a relaxed HoTmPu2Sb4 crystal from Alexandria via LeMat-Bulk. Energies are from PBE.

- formation energy from raw total energies (eV/atom) = -0.84
- space-group type = P2/m, No. 10

a b c (Å): 4.396 7.613 7.580
angles (deg): 109.55 90.00 90.00
Fractional coordinates of all 8 atoms:
1 Ho 0.500 0.500 0.000
2 Tm 0.000 0.000 0.000
3 Pu 0.500 0.000 0.500
4 Pu 0.000 0.500 0.500
5 Sb 0.500 0.248 0.247
6 Sb 0.500 0.752 0.753
7 Sb 0.000 0.250 0.753
8 Sb 0.000 0.750 0.247

---

Here is a relaxed Ho2TmPuSb4 crystal from Alexandria via LeMat-Bulk. Energies are from PBE.

- formation energy from raw total energies (eV/atom) = -0.96
- space-group type = P2/m, No. 10

a b c (Å): 4.380 7.577 7.572
angles (deg): 70.58 90.00 90.00
Fractional coordinates of all 8 atoms:
1 Ho 0.000 0.000 0.000
2 Ho 0.500 0.000 0.500
3 Tm 0.000 0.500 0.500
4 Pu 0.500 0.500 0.000
5 Sb 0.000 0.751 0.747
6 Sb 0.000 0.249 0.253
7 Sb 0.500 0.749 0.252
8 Sb 0.500 0.251 0.748

---

Here is a relaxed HoPuU2Sb4 crystal from Alexandria via LeMat-Bulk. Energies are from PBE.

- formation energy from raw total energies (eV/atom) = -0.50
- space-group type = P2/m, No. 10

a b c (Å): 4.341 7.552 7.689
angles (deg): 108.88 90.00 90.00
Fractional coordinates of all 8 atoms:
1 Ho 0.500 0.500 0.000
2 Pu 0.000 0.000 0.000
3 U 0.500 0.000 0.500
4 U 0.000 0.500 0.500
5 Sb 0.500 0.252 0.251
6 Sb 0.500 0.748 0.749
7 Sb 0.000 0.253 0.750
8 Sb 0.000 0.747 0.250

---

Here is a relaxed HoPuZnSb crystal from Alexandria via LeMat-Bulk. Energies are from PBE.

- formation energy from raw total energies (eV/atom) = -0.40
- space-group type = F-43m, No. 216

a b c (Å): 5.194 5.194 5.194
angles (deg): 60.00 60.00 60.00
Fractional coordinates of all 4 atoms:
1 Sb 0.500 0.500 0.500
2 Zn 0.000 0.000 0.000
3 Ho 0.750 0.750 0.750
4 Pu 0.250 0.250 0.250

---

Here is a relaxed HoPu4Sc crystal from Alexandria via LeMat-Bulk. Energies are from PBE.

- calculated formation energy (eV/f.u.) = 1.58
- space-group type = F-43m, No. 216

a b c (Å): 6.078 6.078 6.078
angles (deg): 60.00 60.00 60.00
Fractional coordinates of all 6 atoms:
1 Sc 0.000 0.000 0.000
2 Ho 0.250 0.250 0.250
3 Pu 0.625 0.625 0.124
4 Pu 0.625 0.124 0.625
5 Pu 0.625 0.625 0.625
6 Pu 0.124 0.625 0.625

---

Here is a relaxed HoPuSc2 crystal from Alexandria via LeMat-Bulk. Energies are from PBE.

- ΔE to the lowest computed polymorph (meV/atom) = 182
- calculated formation energy (eV/f.u.) = 1.09
- space-group type = R-3m, No. 166

a b c (Å): 3.282 3.282 11.751
angles (deg): 81.97 81.97 60.00
Fractional coordinates of all 4 atoms:
1 Sc 0.088 0.088 0.735
2 Sc 0.912 0.912 0.265
3 Ho 0.500 0.500 0.500
4 Pu 0.000 0.000 0.000

---

Here is a relaxed Ho12PuSc5 crystal from Alexandria via LeMat-Bulk. Energies are from PBE.

- calculated formation energy (eV/f.u.) = 0.96
- space-group type = Cmmm, No. 65

a b c (Å): 14.441 10.292 4.895
angles (deg): 90.00 90.00 45.45
Fractional coordinates of all 18 atoms:
1 Ho 0.837 0.000 0.500
2 Ho 0.163 0.000 0.500
3 Ho 0.661 0.000 0.000
4 Ho 0.339 0.000 0.000
5 Ho 0.330 0.666 0.000
6 Ho 0.005 0.666 0.000
7 Ho 0.995 0.334 0.000
8 Ho 0.670 0.334 0.000
9 Ho 0.495 0.332 0.500
10 Ho 0.827 0.668 0.500
11 Ho 0.173 0.332 0.500
12 Ho 0.505 0.668 0.500
13 Pu 0.000 0.000 0.000
14 Sc 0.500 0.000 0.500
15 Sc 0.165 0.669 0.500
16 Sc 0.835 0.331 0.500
17 Sc 0.667 0.666 0.000
18 Sc 0.333 0.334 0.000

---

Here is a relaxed Ho8PuSc5 crystal from Alexandria via LeMat-Bulk. Energies are from PBE.

- calculated formation energy (eV/f.u.) = 4.03
- space-group type = I-4, No. 82

a b c (Å): 8.114 8.114 8.114
angles (deg): 111.17 106.13 111.17
Fractional coordinates of all 14 atoms:
1 Ho 0.156 0.728 0.071
2 Ho 0.929 0.085 0.656
3 Ho 0.737 0.260 0.342
4 Ho 0.658 0.395 0.918
5 Ho 0.524 0.605 0.263
6 Ho 0.572 0.915 0.844
7 Ho 0.344 0.272 0.428
8 Ho 0.082 0.740 0.476
9 Pu 0.250 0.500 0.750
10 Sc 0.032 0.308 0.125
11 Sc 0.875 0.907 0.183
12 Sc 0.817 0.692 0.724
13 Sc 0.500 0.000 0.500
14 Sc 0.276 0.093 0.968